4
Lattice="2.958 0.000 0.000 -1.479 2.562 0.000 0.000 0.000 9.110" Properties=species:S:1:pos:R:3 comment="ZnAg3 | the Alexandria database | PBE-GGA | optimized geometry" n_ef_per_ev_cell=1.87 total_magnetization_mub_per_cell=0.0 formation_energy_ev_per_fu=0.07 pbc="T T T"
Zn 0.000 0.000 0.000
Ag 0.000 0.000 4.555
Ag 1.479 0.854 2.174
Ag 1.479 0.854 6.936

10
Lattice="2.560 -4.004 0.000 2.560 4.004 0.000 0.000 0.000 8.213" Properties=species:S:1:pos:R:3 comment="Zn3Ag2 | the Alexandria database | PBE-GGA | optimized geometry" n_ef_per_ev_cell=2.25 total_magnetization_mub_per_cell=0.0 formation_energy_ev_per_fu=0.07 polymorph_energy_kj_per_mol_atoms=3.8 pbc="T T T"
Zn 0.000 0.000 0.000
Zn 1.280 0.827 2.053
Zn 1.280 -0.827 6.160
Zn 2.560 0.000 4.106
Zn 3.841 0.827 2.053
Zn 3.841 -0.827 6.160
Ag 2.560 2.706 3.584
Ag 2.560 1.298 7.690
Ag 2.560 -1.298 0.523
Ag 2.560 -2.706 4.629

9
Lattice="4.691 0.000 0.000 -2.097 4.322 0.000 -0.444 -0.271 6.887" Properties=species:S:1:pos:R:3 comment="Zn8Ag | the Alexandria database | PBE-GGA | optimized geometry" n_ef_per_ev_cell=1.50 total_magnetization_mub_per_cell=0.0 formation_energy_ev_per_fu=0.10 polymorph_energy_kj_per_mol_atoms=0.0 pbc="T T T"
Zn -0.819 1.411 2.297
Zn 0.543 1.213 4.601
Zn -0.269 2.593 6.885
Zn 1.457 -0.037 2.312
Zn 0.693 4.089 4.575
Zn 2.419 1.458 0.003
Zn 1.607 2.838 2.286
Zn 2.969 2.640 4.590
Ag 0.000 0.000 0.000

12
Lattice="7.317 0.000 0.000 0.000 7.317 0.000 0.000 0.000 7.317" Properties=species:S:1:pos:R:3 comment="ZnAg | the Alexandria database | PBE-GGA | optimized geometry" n_ef_per_ev_cell=7.32 total_magnetization_mub_per_cell=0.0 formation_energy_ev_per_fu=1.13 pbc="T T T"
Zn 0.000 1.829 3.659
Zn 0.000 5.488 3.659
Zn 1.829 3.659 0.000
Zn 3.659 0.000 1.829
Zn 3.659 0.000 5.488
Zn 5.488 3.659 0.000
Ag 0.000 3.659 1.829
Ag 0.000 3.659 5.488
Ag 1.829 0.000 3.659
Ag 3.659 1.829 0.000
Ag 3.659 5.488 0.000
Ag 5.488 0.000 3.659

7
Lattice="3.923 -2.227 0.000 3.923 2.227 0.000 -2.494 0.000 6.662" Properties=species:S:1:pos:R:3 comment="Zn3Ag4 | the Alexandria database | PBE-GGA | optimized geometry" n_ef_per_ev_cell=1.86 total_magnetization_mub_per_cell=0.0 formation_energy_ev_per_fu=0.09 polymorph_energy_kj_per_mol_atoms=3.4 pbc="T T T"
Zn 0.000 0.000 0.000
Zn 0.049 0.000 2.915
Zn 5.303 0.000 3.747
Ag 0.114 0.000 5.780
Ag 2.643 0.000 1.965
Ag 2.709 0.000 4.697
Ag 5.238 0.000 0.882

5
Lattice="-1.471 1.471 9.946 1.471 -1.471 9.946 1.471 1.471 -9.946" Properties=species:S:1:pos:R:3 comment="ZnAg4 | the Alexandria database | PBE-GGA | optimized geometry" n_ef_per_ev_cell=1.47 total_magnetization_mub_per_cell=0.0 formation_energy_ev_per_fu=-0.02 polymorph_energy_kj_per_mol_atoms=0.1 pbc="T T T"
Zn 0.000 0.000 0.000
Ag 0.000 0.000 3.935
Ag 0.000 0.000 8.107
Ag 0.000 0.000 11.785
Ag 0.000 0.000 15.957